Computed, not measured: a relaxed structure of Ac8P3CSe4 at the PBE level of DFT.

Output
calculated total energy: -6.0404 eV per atom
total magnetization: 0.000 μB per formula unit
symmetry: R-3m, No. 166
ΔE_f (raw): -1524 meV/atom
DOS at the Fermi energy: 4.5 states/eV per cell

a b c (Å): 8.789 8.907 8.789
angles (deg): 119.57 120.00 90.00
Fractional coordinates of all 16 atoms:
Ac (0.233, 0.724, 0.991)
Ac (0.233, 0.724, 0.466)
Ac (0.255, 0.266, 0.510)
Ac (0.758, 0.724, 0.991)
Ac (0.242, 0.276, 0.009)
Ac (0.745, 0.734, 0.490)
Ac (0.767, 0.276, 0.534)
Ac (0.767, 0.276, 0.009)
P (0.500, 0.500, 0.000)
P (0.500, 0.500, 0.500)
P (0.000, 0.500, 0.500)
C (0.000, 0.500, 0.000)
Se (0.500, 0.000, 0.000)
Se (0.500, 0.000, 0.500)
Se (0.000, 0.000, 0.000)
Se (0.000, 0.000, 0.500)